Compound: Cs2KNdI6
Source: the Alexandria database
Functional: PBE-GGA
Structure: relaxed

Cell lengths 8.868, 9.368, 12.751 Å; angles 90.00, 89.50, 90.00 degrees
Fractional positions:
I (0.598, 0.025, 0.264)
I (0.819, 0.780, 0.949)
I (0.713, 0.314, 0.954)
I (0.319, 0.720, 0.449)
K (0.000, 0.500, 0.500)
Nd (0.500, 0.000, 0.500)
I (0.213, 0.186, 0.454)
I (0.181, 0.220, 0.051)
I (0.287, 0.686, 0.046)
I (0.902, 0.525, 0.236)
I (0.787, 0.814, 0.546)
Cs (0.974, 0.074, 0.749)
I (0.402, 0.975, 0.736)
K (0.500, 0.000, 0.000)
I (0.098, 0.475, 0.764)
Cs (0.026, 0.926, 0.251)
Nd (0.000, 0.500, 0.000)
I (0.681, 0.280, 0.551)
Cs (0.474, 0.426, 0.249)
Cs (0.526, 0.574, 0.751)

Computed properties:
- SG = No. 14
- DOS at the Fermi energy (states/eV per atom) = 0.00
- total magnetization (Bohr magnetons per cell) = 0.000
- raw formation energy (eV per atom) = -1.51
- volume (Å³/cell) = 1059
- E above lowest polymorph (meV/atom) = 0


Compound: Cs2KNiI6
Source: the Alexandria database
Functional: PBE-GGA
Structure: relaxed

Cell lengths 8.605, 8.605, 8.599 Å; angles 59.98, 59.98, 90.00 degrees
Each line ends with the local moment (μB).
Fractional positions:
I (0.221, 0.221, 0.557)  0.03
I (0.222, 0.778, 0.000)  0.03
Ni (0.000, 0.000, 0.000)  0.68
I (0.779, 0.779, 0.443)  0.03
K (0.500, 0.500, 0.000)  0.01
I (0.778, 0.222, 0.000)  0.03
I (0.778, 0.778, 0.000)  0.03
Cs (0.250, 0.750, 0.500)  0.00
I (0.222, 0.222, 0.000)  0.03
Cs (0.750, 0.250, 0.500)  0.00

Computed properties:
- SG = No. 139
- DOS at the Fermi energy (states/eV per atom) = 0.25
- total magnetization (Bohr magnetons per cell) = 1.000
- raw formation energy (eV per atom) = -0.87
- volume (Å³/cell) = 450
- E above lowest polymorph (meV/atom) = 32


Compound: Cs2KNiI6
Source: the Alexandria database
Functional: PBE-GGA
Structure: relaxed

Cell lengths 8.582, 8.171, 8.171 Å; angles 120.00, 90.00, 90.00 degrees
Each line ends with the local moment (μB).
Fractional positions:
Ni (0.000, 0.000, 0.000)  0.71
I (0.185, 0.314, 0.157)  0.03
Cs (0.835, 0.667, 0.333)  0.00
I (0.185, 0.843, 0.157)  0.03
I (0.185, 0.843, 0.686)  0.03
K (0.500, 0.000, 0.000)  0.00
Cs (0.165, 0.333, 0.667)  0.00
I (0.815, 0.686, 0.843)  0.03
I (0.815, 0.157, 0.843)  0.03
I (0.815, 0.157, 0.314)  0.03

Computed properties:
- SG = No. 164
- DOS at the Fermi energy (states/eV per atom) = 0.31
- total magnetization (Bohr magnetons per cell) = 1.027
- raw formation energy (eV per atom) = -0.90
- volume (Å³/cell) = 496
- E above lowest polymorph (meV/atom) = 0


Compound: CsK2NpI6
Source: the Alexandria database
Functional: PBE-GGA
Structure: relaxed

Cell lengths 8.659, 9.239, 12.884 Å; angles 90.00, 93.36, 90.00 degrees
Each line ends with the local moment (μB).
Fractional positions:
I (0.650, 0.047, 0.286)  -0.02
I (0.134, 0.198, 0.064)  -0.02
Cs (0.500, 0.000, 0.000)  0.00
I (0.793, 0.841, 0.594)  -0.02
K (0.973, 0.100, 0.775)  0.00
K (0.527, 0.600, 0.725)  0.00
I (0.366, 0.698, 0.436)  -0.02
Cs (0.000, 0.500, 0.500)  0.00
Np (0.500, 0.000, 0.500)  4.00
I (0.707, 0.341, 0.906)  -0.02
K (0.473, 0.400, 0.275)  0.00
K (0.027, 0.900, 0.225)  0.00
I (0.866, 0.802, 0.936)  -0.02
I (0.634, 0.302, 0.564)  -0.02
Np (0.000, 0.500, 0.000)  4.00
I (0.150, 0.453, 0.786)  -0.02
I (0.293, 0.659, 0.094)  -0.02
I (0.350, 0.953, 0.714)  -0.02
I (0.850, 0.547, 0.214)  -0.02
I (0.207, 0.159, 0.406)  -0.02

Computed properties:
- SG = No. 14
- DOS at the Fermi energy (states/eV per atom) = 0.39
- total magnetization (Bohr magnetons per cell) = 8.000
- raw formation energy (eV per atom) = -1.25
- volume (Å³/cell) = 1029


Compound: Cs2KNpI6
Source: the Alexandria database
Functional: PBE-GGA
Structure: relaxed

Cell lengths 8.905, 9.691, 13.005 Å; angles 90.00, 90.00, 90.00 degrees
Each line ends with the local moment (μB).
Fractional positions:
Np (0.000, 0.787, 0.000)  3.99
Cs (0.500, 0.808, 0.791)  0.00
I (0.242, 0.427, 0.500)  -0.02
Np (0.500, 0.213, 0.500)  3.99
I (0.742, 0.980, 0.500)  -0.02
I (0.742, 0.573, 0.000)  -0.02
Cs (0.000, 0.192, 0.709)  0.00
I (0.500, 0.213, 0.261)  -0.02
K (0.500, 0.293, 0.000)  0.00
I (0.258, 0.573, 0.000)  -0.02
I (0.000, 0.787, 0.761)  -0.02
I (0.758, 0.020, 0.000)  -0.02
I (0.242, 0.020, 0.000)  -0.02
K (0.000, 0.707, 0.500)  0.00
I (0.758, 0.427, 0.500)  -0.02
Cs (0.000, 0.192, 0.291)  0.00
Cs (0.500, 0.808, 0.209)  0.00
I (0.258, 0.980, 0.500)  -0.02
I (0.500, 0.213, 0.739)  -0.02
I (0.000, 0.787, 0.239)  -0.02

Computed properties:
- SG = No. 59
- DOS at the Fermi energy (states/eV per atom) = 0.55
- total magnetization (Bohr magnetons per cell) = 8.000
- raw formation energy (eV per atom) = -1.27
- volume (Å³/cell) = 1122


Compound: Cs2KI6O
Source: the Alexandria database
Functional: PBE-GGA
Structure: relaxed

Cell lengths 8.128, 8.128, 9.480 Å; angles 64.61, 64.61, 90.00 degrees
Fractional positions:
I (0.295, 0.295, 0.000)
K (0.000, 0.000, 0.000)
Cs (0.250, 0.750, 0.500)
I (0.705, 0.705, 0.000)
Cs (0.750, 0.250, 0.500)
I (0.705, 0.295, 0.000)
I (0.295, 0.705, 0.000)
I (0.224, 0.224, 0.552)
I (0.776, 0.776, 0.448)
O (0.500, 0.500, 0.000)

Computed properties:
- SG = No. 139
- DOS at the Fermi energy (states/eV per atom) = 0.61
- total magnetization (Bohr magnetons per cell) = 0.000
- raw formation energy (eV per atom) = -0.64
- volume (Å³/cell) = 498


Compound: CsKIO2
Source: the Alexandria database
Functional: PBE-GGA
Structure: relaxed

Cell lengths 5.489, 5.489, 6.925 Å; angles 90.00, 90.00, 90.00 degrees
Each line ends with the local moment (μB).
Fractional positions:
O (0.000, 0.500, 0.000)  1.13
Cs (0.500, 0.500, 0.500)  0.00
O (0.500, 0.000, 0.000)  1.13
K (0.000, 0.000, 0.000)  -0.01
I (0.000, 0.000, 0.500)  0.04

Computed properties:
- SG = No. 123
- DOS at the Fermi energy (states/eV per atom) = 0.66
- total magnetization (Bohr magnetons per cell) = 3.000
- raw formation energy (eV per atom) = -0.32
- volume (Å³/cell) = 209
- E above lowest polymorph (meV/atom) = 0


Compound: Cs3K2IO6
Source: the Alexandria database
Functional: PBE-GGA
Structure: relaxed

Cell lengths 6.705, 6.705, 6.828 Å; angles 98.78, 98.78, 120.11 degrees
Fractional positions:
O (0.942, 0.705, 0.833)
I (0.000, 0.000, 0.000)
Cs (0.828, 0.172, 0.500)
K (0.666, 0.334, 0.000)
O (0.176, 0.176, 0.819)
O (0.058, 0.295, 0.167)
O (0.295, 0.058, 0.167)
O (0.705, 0.942, 0.833)
Cs (0.500, 0.500, 0.500)
K (0.334, 0.666, 0.000)
O (0.824, 0.824, 0.181)
Cs (0.172, 0.828, 0.500)

Computed properties:
- SG = No. 12
- DOS at the Fermi energy (states/eV per atom) = 0.00
- total magnetization (Bohr magnetons per cell) = 0.000
- raw formation energy (eV per atom) = -1.16
- volume (Å³/cell) = 253


Compound: Cs2KIO6
Source: the Alexandria database
Functional: PBE-GGA
Structure: relaxed

Cell lengths 6.598, 6.598, 6.598 Å; angles 60.00, 60.00, 60.00 degrees
Each line ends with the local moment (μB).
Fractional positions:
K (0.500, 0.500, 0.500)  0.00
O (0.203, 0.797, 0.797)  0.28
I (0.000, 0.000, 0.000)  -0.05
O (0.203, 0.797, 0.203)  0.28
Cs (0.250, 0.250, 0.250)  0.00
Cs (0.750, 0.750, 0.750)  0.00
O (0.203, 0.203, 0.797)  0.28
O (0.797, 0.203, 0.797)  0.28
O (0.797, 0.797, 0.203)  0.28
O (0.797, 0.203, 0.203)  0.28

Computed properties:
- SG = No. 225
- DOS at the Fermi energy (states/eV per atom) = 0.78
- total magnetization (Bohr magnetons per cell) = 2.001
- raw formation energy (eV per atom) = -0.94
- volume (Å³/cell) = 203


Compound: CsKIO2
Source: the Alexandria database
Functional: PBE-GGA
Structure: relaxed

Cell lengths 4.785, 4.785, 7.753 Å; angles 90.00, 90.00, 90.00 degrees
Each line ends with the local moment (μB).
Fractional positions:
Cs (0.000, 0.000, 0.000)  0.06
O (0.500, 0.000, 0.000)  0.48
O (0.000, 0.500, 0.000)  0.48
K (0.500, 0.500, 0.500)  0.00
I (0.000, 0.000, 0.500)  0.03

Computed properties:
- SG = No. 123
- DOS at the Fermi energy (states/eV per atom) = 1.49
- total magnetization (Bohr magnetons per cell) = 1.292
- raw formation energy (eV per atom) = -0.18
- volume (Å³/cell) = 177
- E above lowest polymorph (meV/atom) = 141


| no. | E (eV/cell) |
| --- | --- |
| 1 | -63.98 |
| 2 | -26.57 |
| 3 | -26.88 |
| 4 | -75.54 |
| 5 | -75.43 |
| 6 | -23.44 |
| 7 | -15.00 |
| 8 | -49.93 |
| 9 | -43.46 |
| 10 | -14.30 |